[1]
The following is a DFT calculation (GGA-PBE) of crystalline Cd3Ag6Pd at its relaxed geometry.

Summary:
**ρ**: 9.3 g/cm³
**Magnetization**: 0.00 μB per formula unit
**Density of states at the Fermi level**: 0.3196 states/eV per atom
**Energy relative to the elements**: 0.020 eV per atom

Lattice parameters (Å, degrees): 7.303 7.303 7.303 87.87 87.87 87.87
Fractional positions:
Cd  0.226  0.634  0.759
Cd  0.241  0.774  0.366
Cd  0.366  0.241  0.774
Cd  0.634  0.759  0.226
Cd  0.759  0.226  0.634
Cd  0.774  0.366  0.241
Ag  0.002  0.646  0.115
Ag  0.115  0.002  0.646
Ag  0.126  0.355  0.447
Ag  0.354  0.885  0.998
Ag  0.355  0.447  0.126
Ag  0.447  0.126  0.355
Ag  0.553  0.874  0.645
Ag  0.645  0.553  0.874
Ag  0.646  0.115  0.002
Ag  0.874  0.645  0.553
Ag  0.885  0.998  0.354
Ag  0.998  0.354  0.885
Pd  0.000  0.000  0.000
Pd  0.500  0.500  0.500

[2]
The following is a DFT calculation (GGA-PBE) of crystalline Cd4Ag5Pd at its relaxed geometry.

Summary:
**ρ**: 8.9 g/cm³
**Magnetization**: 0.00 μB per formula unit
**Relative energy among the computed polymorphs**: 1.029 eV/f.u.
**Density of states at the Fermi level**: 0.3891 states/eV per atom
**Energy relative to the elements**: 0.000 eV per atom

Lattice parameters (Å, degrees): 9.116 9.332 4.787 90.00 90.00 90.00
Fractional positions:
Cd  0.076  0.250  0.153
Cd  0.250  0.569  0.255
Cd  0.250  0.931  0.255
Cd  0.424  0.250  0.153
Cd  0.576  0.750  0.847
Cd  0.750  0.069  0.745
Cd  0.750  0.431  0.745
Cd  0.924  0.750  0.847
Ag  0.082  0.014  0.748
Ag  0.082  0.486  0.748
Ag  0.250  0.750  0.755
Ag  0.418  0.014  0.748
Ag  0.418  0.486  0.748
Ag  0.582  0.514  0.252
Ag  0.582  0.986  0.252
Ag  0.750  0.250  0.245
Ag  0.918  0.514  0.252
Ag  0.918  0.986  0.252
Pd  0.250  0.250  0.631
Pd  0.750  0.750  0.369

[3]
The following is a DFT calculation (GGA-PBE) of crystalline Cd7AgPd4 at its relaxed geometry.

Summary:
**ρ**: 8.8 g/cm³
**Magnetization**: 0.00 μB per formula unit
**Density of states at the Fermi level**: 0.4639 states/eV per atom
**Energy relative to the elements**: -0.118 eV per atom

Lattice parameters (Å, degrees): 6.881 6.881 9.713 123.71 123.71 42.66
Fractional positions:
Cd  0.000  0.000  0.000
Cd  0.160  0.160  0.596
Cd  0.287  0.287  0.131
Cd  0.429  0.429  0.663
Cd  0.571  0.571  0.337
Cd  0.713  0.713  0.869
Cd  0.840  0.840  0.404
Ag  0.500  0.500  0.000
Pd  0.066  0.066  0.781
Pd  0.200  0.200  0.343
Pd  0.800  0.800  0.657
Pd  0.934  0.934  0.219

[4]
The following is a DFT calculation (GGA-PBE) of crystalline Cd2AgPd9 at its relaxed geometry.

Summary:
**ρ**: 11.0 g/cm³
**Magnetization**: 0.00 μB per formula unit
**Density of states at the Fermi level**: 1.5421 states/eV per atom
**Energy relative to the elements**: -0.156 eV per atom

Lattice parameters (Å, degrees): 4.017 4.017 12.066 90.00 90.00 90.00
Fractional positions:
Cd  0.000  0.000  0.167
Cd  0.000  0.000  0.833
Ag  0.000  0.000  0.500
Pd  0.000  0.500  0.000
Pd  0.000  0.500  0.335
Pd  0.000  0.500  0.665
Pd  0.500  0.000  0.000
Pd  0.500  0.000  0.335
Pd  0.500  0.000  0.665
Pd  0.500  0.500  0.168
Pd  0.500  0.500  0.500
Pd  0.500  0.500  0.832